First-principles (GGA-PBE) data for crystalline NdDyUO6 at its relaxed geometry, as listed in Alexandria via LeMat-Bulk.

Calculated values
Raw formation energy = -3331 meV per atom

abc: 5.8213 5.8213 9.7190
angles: 90.00 90.00 120.00
Atoms (fractional coordinates):
O: 0.9772 0.6381 0.3628
O: 0.0228 0.6610 0.8628
O: 0.6381 0.9772 0.8628
O: 0.3390 0.3619 0.8628
O: 0.6610 0.6381 0.1372
O: 0.3619 0.0228 0.1372
O: 0.0228 0.3619 0.6372
O: 0.6381 0.6610 0.6372
O: 0.3619 0.3390 0.3628
O: 0.9772 0.3390 0.1372
O: 0.6610 0.0228 0.3628
O: 0.3390 0.9772 0.6372
U: 0.6667 0.3333 0.2500
U: 0.3333 0.6667 0.7500
Dy: 0.6667 0.3333 0.7500
Dy: 0.3333 0.6667 0.2500
Nd: 0.0000 0.0000 0.0000
Nd: 0.0000 0.0000 0.5000



First-principles (GGA-PBE) data for crystalline NdDy2Os at its relaxed geometry, as listed in Alexandria via LeMat-Bulk.

Calculated values
Calculated formation energy = 0.2527 eV per atom

abc: 3.4916 3.4916 11.1533
angles: 80.99 80.99 60.00
Atoms (fractional coordinates):
Dy: 0.8927 0.8927 0.3219
Dy: 0.1073 0.1073 0.6781
Os: 0.5000 0.5000 0.5000
Nd: 0.0000 0.0000 0.0000



First-principles (GGA-PBE) data for crystalline NdDyOs at its relaxed geometry, as listed in Alexandria via LeMat-Bulk.

Calculated values
Calculated formation energy = -0.0941 eV per atom

abc: 7.2452 7.2452 6.7870
angles: 90.00 90.00 152.57
Atoms (fractional coordinates):
Dy: 0.6144 0.3856 0.2500
Dy: 0.3856 0.6144 0.7500
Os: 0.0000 0.0000 0.5000
Os: 0.0000 0.0000 0.0000
Nd: 0.6270 0.3730 0.7500
Nd: 0.3730 0.6270 0.2500



First-principles (GGA-PBE) data for crystalline Nd2DyOs at its relaxed geometry, as listed in Alexandria via LeMat-Bulk.

Calculated values
Calculated formation energy = 0.4013 eV per atom

abc: 3.5854 3.5854 11.1332
angles: 80.73 80.73 60.00
Atoms (fractional coordinates):
Nd: 0.1059 0.1059 0.6823
Nd: 0.8941 0.8941 0.3177
Dy: 0.0000 0.0000 0.0000
Os: 0.5000 0.5000 0.5000



First-principles (GGA-PBE) data for crystalline NdDy2Os at its relaxed geometry, as listed in Alexandria via LeMat-Bulk.

Calculated values
Calculated formation energy = -0.1288 eV per atom

abc: 3.4225 3.4225 9.3319
angles: 90.00 90.00 90.00
Atoms (fractional coordinates):
Dy: 0.0000 0.0000 0.1769
Dy: 0.0000 0.0000 0.8231
Nd: 0.5000 0.5000 0.5000
Os: 0.5000 0.5000 0.0000



First-principles (GGA-PBE) data for crystalline NdDy2Os at its relaxed geometry, as listed in Alexandria via LeMat-Bulk.

Calculated values
Calculated formation energy = -0.2019 eV per atom

abc: 6.4352 7.4624 9.1514
angles: 90.00 90.00 90.00
Atoms (fractional coordinates):
Dy: 0.6652 0.8258 0.5647
Dy: 0.6652 0.8258 0.9353
Dy: 0.3348 0.1742 0.0647
Dy: 0.1652 0.6742 0.0647
Dy: 0.8348 0.3258 0.5647
Dy: 0.3348 0.1742 0.4353
Dy: 0.1652 0.6742 0.4353
Dy: 0.8348 0.3258 0.9353
Nd: 0.8704 0.0397 0.2500
Nd: 0.3704 0.4603 0.7500
Nd: 0.6296 0.5397 0.2500
Nd: 0.1296 0.9603 0.7500
Os: 0.5510 0.1156 0.7500
Os: 0.0510 0.3844 0.2500
Os: 0.9490 0.6156 0.7500
Os: 0.4490 0.8844 0.2500